A relaxed Ba2ErCu3O7 crystal. Source: Alexandria via LeMat-Bulk, functional PBE.

Cell: 3.827 3.910 11.823 Å, 90.00 90.00 90.00°
Positions (direct):
1 Ba 0.000 0.500 0.319
2 Ba 0.000 0.500 0.681
3 Er 0.000 0.500 0.000
4 Cu 0.500 0.000 0.145
5 Cu 0.500 0.000 0.855
6 Cu 0.500 0.000 0.500
7 O 0.500 0.500 0.119
8 O 0.500 0.500 0.881
9 O 0.500 0.000 0.659
10 O 0.000 0.000 0.118
11 O 0.500 0.500 0.500
12 O 0.000 0.000 0.882
13 O 0.500 0.000 0.341

Properties
**SG**: Pmmm
**Total energy**: -6.0766 eV/atom
**Raw formation energy**: -1.815 eV/atom